# 1
A relaxed HfOsSCl2 crystal, computed with PBE-GGA.

Values from the calculation:
Fermi-level density of states ... 5.87 states/eV per cell
Relative energy among the computed polymorphs ... 0 kJ/mol of formula units
E_form (uncorrected) ... 0.415 eV/atom

Lattice parameters (Å, degrees): 4.994 4.994 4.927 90.00 90.00 90.00
Space group P4/mmm (No. 123)
One atom of each set of equivalent atoms:
Hf 0.000 0.000 0.000
Os 0.500 0.500 0.500
S 0.000 0.000 0.500
Cl 0.000 0.500 0.000

***

# 2
A relaxed La2SmCd3 crystal, computed with PBE-GGA.

Values from the calculation:
Calculated formation energy ... -1.9 eV per formula unit
Fermi-level density of states ... 8.06 states/eV per cell

Lattice parameters (Å, degrees): 3.880 3.880 11.784 90.00 90.00 90.00
Space group P4/mmm (No. 123)
One atom of each set of equivalent atoms:
La 0.000 0.000 0.171
Sm 0.000 0.000 0.500
Cd 0.500 0.500 0.000
Cd 0.500 0.500 0.345